[1]
DFT (PBE-GGA) results for a relaxed structure of K2ErIrO6.

Cell lengths 5.8540, 5.8540, 5.8540 Å; angles 60.00, 60.00, 60.00 degrees
Positions (direct):
K 0.2500 0.2500 0.2500
K 0.7500 0.7500 0.7500
Er 0.0000 0.0000 0.0000
Ir 0.5000 0.5000 0.5000
O 0.2681 0.2681 0.7319
O 0.2681 0.7319 0.2681
O 0.2681 0.7319 0.7319
O 0.7319 0.2681 0.2681
O 0.7319 0.2681 0.7319
O 0.7319 0.7319 0.2681

Output
- calculated total energy (eV/cell) = -62.6
- spin magnetization (μB/f.u.) = 0.0
- symmetry = Fm-3m, No. 225

---

[2]
DFT (PBE-GGA) results for a relaxed structure of Sr3FeRe.

Cell lengths 5.8227, 5.8227, 5.8227 Å; angles 90.00, 90.00, 90.00 degrees
Positions (direct):
Sr 0.0000 0.0000 0.5000
Sr 0.0000 0.5000 0.0000
Sr 0.5000 0.0000 0.0000
Fe 0.5000 0.5000 0.5000
Re 0.0000 0.0000 0.0000

Output
- calculated total energy (eV/cell) = -19.4
- formation energy (eV/atom) = 1.32
- energy above the lowest structure with this stoichiometry (eV per formula unit) = 0.00
- spin magnetization (μB/f.u.) = 4.6
- symmetry = Pm-3m, No. 221

---

[3]
DFT (PBE-GGA) results for a relaxed structure of Tb2PtPb.

Cell lengths 3.5676, 3.5676, 7.9110 Å; angles 90.00, 90.00, 90.00 degrees
Positions (direct):
Tb 0.0000 0.0000 0.2120
Tb 0.0000 0.0000 0.7880
Pt 0.5000 0.5000 0.0000
Pb 0.5000 0.5000 0.5000

Output
- calculated total energy (eV/cell) = -22.4
- formation energy (eV/atom) = -0.84
- spin magnetization (μB/f.u.) = 0.0
- symmetry = P4/mmm, No. 123

---

[4]
DFT (PBE-GGA) results for a relaxed structure of LaZn2Re.

Cell lengths 2.8722, 4.1897, 6.7084 Å; angles 90.00, 101.82, 90.00 degrees
Positions (direct):
La 0.0000 0.0000 0.0000
Zn 0.2360 0.0000 0.4547
Zn 0.3425 0.5000 0.6802
Re 0.6714 0.5000 0.3262

Output
- calculated total energy (eV/cell) = -19.0
- formation energy (eV/atom) = 0.23
- energy above the lowest structure with this stoichiometry (eV per formula unit) = 0.10
- spin magnetization (μB/f.u.) = 0.0
- symmetry = Pm, No. 6

---

[5]
DFT (PBE-GGA) results for a relaxed structure of Ba2BeAg.

Cell lengths 4.7335, 4.7335, 8.6421 Å; angles 105.72, 105.72, 59.78 degrees
Positions (direct):
Ba 0.2475 0.2475 0.2423
Ba 0.7525 0.7525 0.7577
Be 0.5000 0.5000 0.0000
Ag 0.0000 0.0000 0.5000

Output
- calculated total energy (eV/cell) = -9.1
- formation energy (eV/atom) = 0.34
- spin magnetization (μB/f.u.) = 0.0
- symmetry = C2/m, No. 12

---

[6]
DFT (PBE-GGA) results for a relaxed structure of TaNbOsRh.

Cell lengths 4.5230, 4.5230, 4.5230 Å; angles 60.00, 60.00, 60.00 degrees
Positions (direct):
Ta 0.0000 0.0000 0.0000
Nb 0.5000 0.5000 0.5000
Os 0.2500 0.2500 0.2500
Rh 0.7500 0.7500 0.7500

Output
- calculated total energy (eV/cell) = -41.4
- formation energy (eV/atom) = -0.22
- energy above the lowest structure with this stoichiometry (eV per formula unit) = 0.38
- spin magnetization (μB/f.u.) = 0.0
- symmetry = F-43m, No. 216

---

[7]
DFT (PBE-GGA) results for a relaxed structure of Ni2OsBr.

Cell lengths 6.5167, 6.5167, 6.5167 Å; angles 155.13, 145.30, 43.16 degrees
Positions (direct):
Ni 0.0000 0.0000 0.0000
Ni 0.6167 0.1167 0.5000
Os 0.1737 0.6737 0.5000
Br 0.3557 0.3557 0.0000

Output
- calculated total energy (eV/cell) = -21.8
- energy above the lowest structure with this stoichiometry (eV per formula unit) = 0.74
- spin magnetization (μB/f.u.) = 0.2
- symmetry = Imm2, No. 44

---

[8]
DFT (PBE-GGA) results for a relaxed structure of MnRuS2Cl.

Cell lengths 4.5703, 4.5703, 4.8199 Å; angles 90.00, 90.00, 90.00 degrees
Positions (direct):
Mn 0.0000 0.0000 0.0000
Ru 0.5000 0.5000 0.5000
S 0.0000 0.5000 0.5000
S 0.5000 0.0000 0.5000
Cl 0.5000 0.5000 0.0000

Output
- calculated total energy (eV/cell) = -24.1
- energy above the lowest structure with this stoichiometry (eV per formula unit) = 0.84
- spin magnetization (μB/f.u.) = 0.8
- symmetry = P4/mmm, No. 123

---

[9]
DFT (PBE-GGA) results for a relaxed structure of KNiBP2.

Cell lengths 5.3343, 5.3343, 4.6066 Å; angles 90.00, 90.00, 90.00 degrees
Positions (direct):
K 0.0000 0.0000 0.0000
Ni 0.0000 0.0000 0.5000
B 0.5000 0.5000 0.5000
P 0.0000 0.5000 0.0000
P 0.5000 0.0000 0.0000

Output
- calculated total energy (eV/cell) = -10.2
- formation energy (eV/atom) = 2.84
- spin magnetization (μB/f.u.) = 1.1
- symmetry = P4/mmm, No. 123

---

[10]
DFT (PBE-GGA) results for a relaxed structure of Ca2AlZn2Cu5.

Cell lengths 10.1866, 10.1866, 3.2418 Å; angles 90.00, 90.00, 90.00 degrees
Positions (direct):
Ca 0.1750 0.3250 0.0000
Ca 0.3250 0.8250 0.0000
Ca 0.6750 0.1750 0.0000
Ca 0.8250 0.6750 0.0000
Al 0.0000 0.0000 0.0000
Al 0.5000 0.5000 0.0000
Zn 0.1269 0.6269 0.0000
Zn 0.3731 0.1269 0.0000
Zn 0.6269 0.8731 0.0000
Zn 0.8731 0.3731 0.0000
Cu 0.0000 0.5000 0.5000
Cu 0.0552 0.8123 0.5000
Cu 0.1877 0.0552 0.5000
Cu 0.3123 0.5552 0.5000
Cu 0.4448 0.3123 0.5000
Cu 0.5000 0.0000 0.5000
Cu 0.5552 0.6877 0.5000
Cu 0.6877 0.4448 0.5000
Cu 0.8123 0.9448 0.5000
Cu 0.9448 0.1877 0.5000

Output
- calculated total energy (eV/cell) = -63.1
- formation energy (eV/atom) = -0.08
- spin magnetization (μB/f.u.) = 0.0
- symmetry = P4/mbm, No. 127

---

[11]
DFT (PBE-GGA) results for a relaxed structure of LiP2BrO.

Cell lengths 4.7493, 4.7493, 3.4580 Å; angles 90.00, 90.00, 90.00 degrees
Positions (direct):
Li 0.0000 0.0000 0.0000
P 0.0000 0.5000 0.0000
P 0.5000 0.0000 0.0000
Br 0.5000 0.5000 0.5000
O 0.0000 0.0000 0.5000

Output
- calculated total energy (eV/cell) = -16.2
- energy above the lowest structure with this stoichiometry (eV per formula unit) = 0.00
- spin magnetization (μB/f.u.) = 0.0
- symmetry = P4/mmm, No. 123

---

[12]
DFT (PBE-GGA) results for a relaxed structure of La5Er4Tm4.

Cell lengths 9.5301, 9.5301, 9.5301 Å; angles 94.06, 94.06, 149.14 degrees
Positions (direct):
La 0.0000 0.0000 0.0000
La 0.3051 0.5391 0.8441
La 0.4609 0.3051 0.7660
La 0.5391 0.6949 0.2340
La 0.6949 0.4609 0.1559
Er 0.0751 0.3872 0.4623
Er 0.3872 0.9249 0.3121
Er 0.6128 0.0751 0.6879
Er 0.9249 0.6128 0.5377
Tm 0.1556 0.7651 0.9207
Tm 0.2349 0.1556 0.3905
Tm 0.7651 0.8444 0.6095
Tm 0.8444 0.2349 0.0793

Output
- calculated total energy (eV/cell) = -60.3
- formation energy (eV/atom) = 0.04
- spin magnetization (μB/f.u.) = 0.0
- symmetry = I4/m, No. 87